Entry 1:
Computed, not measured: a relaxed TcNiGePt2 crystal at the PBE-GGA level of DFT.

```
TcNiGePt2
1.0
4.836 0.000 0.000
0.000 4.457 0.000
0.000 0.000 4.836
Ni Ge Tc Pt
1 1 1 2
Cartesian
0.000 2.228 0.000
2.418 2.228 2.418
0.000 0.000 0.000
0.000 0.000 2.418
2.418 0.000 0.000
```

Properties
The calculation puts the energy of formation at 5.645 eV per formula unit. Its space group is No. 123.

=====

Entry 2:
Computed, not measured: a relaxed Th2NiGe3Pt4 crystal at the PBE-GGA level of DFT.

```
Th2NiGe3Pt4
1.0
4.317 0.000 0.000
0.000 4.317 0.000
0.000 0.000 10.172
Th Ni Ge Pt
2 1 3 4
Cartesian
2.158 0.000 2.618
0.000 2.158 7.554
2.158 2.158 5.086
0.000 0.000 5.086
2.158 0.000 8.825
0.000 2.158 1.348
2.158 2.158 0.000
0.000 0.000 0.000
2.158 0.000 6.389
0.000 2.158 3.783
```

Properties
The calculation puts the energy of formation at -8.569 eV per formula unit. Its space group is No. 115.

=====

Entry 3:
Computed, not measured: a relaxed Th2NiGe3Pt12 crystal at the PBE-GGA level of DFT.

```
Th2NiGe3Pt12
1.0
7.844 -0.189 -0.134
3.710 6.914 -0.134
3.710 2.159 6.570
Th Ni Ge Pt
2 1 3 12
Cartesian
9.577 5.575 3.954
5.687 3.310 2.348
0.000 0.000 0.000
3.922 -0.094 -0.067
1.855 3.457 -0.067
1.855 1.080 3.285
7.544 4.391 5.660
11.455 6.667 2.181
9.363 7.855 5.572
9.633 3.205 2.273
11.455 4.263 5.572
7.544 6.793 2.273
7.720 4.494 0.642
3.810 2.218 4.121
5.901 1.030 0.730
5.631 5.680 4.029
3.810 4.622 0.730
7.720 2.092 4.029
```

Properties
The calculation puts the energy of formation at -6.841 eV per formula unit. Its space group is No. 166.

=====

Question: energy of formation of number 3 (Th2NiGe3Pt12)?
Answer: -6.841 eV per formula unit